Record 1
5
Lattice="4.0147 0.0000 0.0000 0.0000 5.0200 0.0000 0.0000 0.0000 4.0147" Properties=species:S:1:pos:R:3 comment="NaAl2SiN | Alexandria | GGA-PBE | optimized geometry" raw_formation_energy_kj_per_mol_atoms=36 density_g_cm3=2.44 total_magnetization_mub_per_fu=0.000 dos_ef_per_ev_atom=0.35 energy_ev_per_cell=-20.70 pbc="T T T"
Na 2.0074 2.5100 2.0074
Si 0.0000 2.5100 0.0000
Al 0.0000 0.0000 2.0074
Al 2.0074 0.0000 0.0000
N 0.0000 0.0000 0.0000



Record 2
12
Lattice="4.8990 0.0000 1.5334 2.2095 4.3725 1.5334 -0.0932 -0.0573 8.8904" Properties=species:S:1:pos:R:3 comment="Ca3Cu7Ni2 | Alexandria | GGA-PBE | optimized geometry" formation_enthalpy_0k_mev_per_atom=-122 density_g_cm3=5.92 total_magnetization_mub_per_fu=0.000 dos_ef_per_ev_atom=0.54 energy_ev_per_cell=-47.70 pbc="T T T"
Ca 0.0000 0.0000 0.0000
Ca 6.0791 3.7393 6.3557
Ca 0.9363 0.5759 5.6014
Cu 3.5077 2.1576 5.9786
Cu 5.4139 1.8260 4.1774
Cu 4.0715 4.0085 4.1774
Cu 2.9686 1.8260 3.4120
Cu 1.6015 2.4892 7.7798
Cu 4.0468 2.4892 8.5451
Cu 2.9439 0.3067 7.7798
Ni 4.6515 2.8611 10.9169
Ni 2.3639 1.4540 1.0403



Record 3
5
Lattice="3.9972 0.0000 0.0000 0.0000 3.9972 0.0000 -1.9986 -1.9986 5.1800" Properties=species:S:1:pos:R:3 comment="LiErNiGe2 | Alexandria | GGA-PBE | optimized geometry" formation_enthalpy_0k_mev_per_atom=-611 density_g_cm3=7.59 total_magnetization_mub_per_fu=0.000 dos_ef_per_ev_atom=0.56 energy_ev_per_cell=-24.55 pbc="T T T"
Li 1.9986 0.0000 2.5900
Er 0.0000 0.0000 0.0000
Ni 0.0000 1.9986 2.5900
Ge 1.9986 1.9986 1.2440
Ge 0.0000 0.0000 3.9360



Record 4
8
Lattice="-3.1789 -3.0200 4.0257 4.4397 -3.9251 0.5612 1.7397 -1.9268 4.3290" Properties=species:S:1:pos:R:3 comment="Zn2HPt | Alexandria | GGA-PBE | optimized geometry" de_polymorph_mev_per_atom=0.0 density_g_cm3=11.00 total_magnetization_mub_per_fu=0.000 dos_ef_per_ev_atom=0.25 energy_ev_per_cell=-23.89 pbc="T T T"
H 0.6304 -3.4726 2.2934
H 3.4049 -4.6622 3.5918
Zn -0.7210 -2.5977 3.3190
Zn 2.5364 -3.5745 2.2856
Zn 2.1629 -4.3902 5.0156
Zn 2.0226 -7.1814 7.2116
Pt 0.0000 0.0000 0.0000
Pt -0.4044 -4.2097 5.3241



Record 5
8
Lattice="4.1196 0.0000 0.0000 0.0000 4.1196 0.0000 2.0598 2.0598 9.8574" Properties=species:S:1:pos:R:3 comment="MgTcHg2 | Alexandria | GGA-PBE | optimized geometry" formation_enthalpy_0k_mev_per_atom=625 density_g_cm3=10.39 total_magnetization_mub_per_fu=0.000 dos_ef_per_ev_atom=0.56 energy_ev_per_cell=-20.13 pbc="T T T"
Mg 2.0598 2.0598 0.0000
Mg 2.0598 4.1196 4.9287
Hg 3.1249 1.0299 2.4643
Hg 0.9947 3.0897 2.4643
Hg 3.0897 3.0545 7.3930
Hg 5.1495 5.1848 7.3930
Tc 0.0000 0.0000 0.0000
Tc 4.1196 2.0598 4.9287



Record 6
4
Lattice="4.9404 0.0002 0.0007 -0.0015 4.9404 0.0002 -2.4698 -2.4702 3.4936" Properties=species:S:1:pos:R:3 comment="KLaBe2 | Alexandria | GGA-PBE | optimized geometry" de_polymorph_mev_per_atom=401.3 formation_enthalpy_0k_mev_per_atom=782 density_g_cm3=3.82 total_magnetization_mub_per_fu=0.000 dos_ef_per_ev_atom=0.16 energy_ev_per_cell=-10.35 pbc="T T T"
Be 4.9389 4.9405 0.0008
Be -0.0009 2.4703 1.7471
K 2.4694 2.4704 0.0004
La 2.4701 0.0000 1.7473



Record 7
12
Lattice="4.2328 0.0000 0.0000 0.0000 8.4656 0.2878 -2.1164 -2.4576 8.9074" Properties=species:S:1:pos:R:3 comment="Pm6GeAs2Se3 | Alexandria | GGA-PBE | optimized geometry" raw_formation_energy_kj_per_mol_atoms=-158 density_g_cm3=6.85 total_magnetization_mub_per_fu=0.000 dos_ef_per_ev_atom=0.32 energy_ev_per_cell=-72.56 pbc="T T T"
Pm 0.0000 6.0703 6.2656
Pm 2.1164 4.0585 3.1726
Pm 2.1164 -0.0623 2.9296
Pm 0.0000 2.0449 0.0989
Pm 2.1164 3.9631 9.0963
Pm 0.0000 1.9494 6.0226
Ge 2.1164 0.0000 0.0000
As 2.1164 4.0006 6.1215
As 0.0000 2.0074 3.0736
Se 2.1164 4.2328 0.1439
Se 2.1164 -0.2176 5.9712
Se 0.0000 6.2256 3.2239



Record 8
8
Lattice="4.0798 0.0000 0.0000 0.0000 7.3737 0.1919 0.0000 -2.5119 6.8576" Properties=species:S:1:pos:R:3 comment="Pr4BSeCl2 | Alexandria | GGA-PBE | optimized geometry" raw_formation_energy_kj_per_mol_atoms=-126 density_g_cm3=5.78 total_magnetization_mub_per_fu=0.000 dos_ef_per_ev_atom=0.43 energy_ev_per_cell=-43.38 pbc="T T T"
Pr 2.0399 1.4752 1.5660
Pr 2.0399 3.3866 5.4835
Pr 0.0000 0.1527 5.4745
Pr 0.0000 4.7090 1.5750
B 2.0399 3.6868 0.0960
Se 0.0000 0.0000 0.0000
Cl 2.0399 -1.2560 3.4288
Cl 0.0000 2.4309 3.5248



Repeat the first record exactly.
5
Lattice="4.0147 0.0000 0.0000 0.0000 5.0200 0.0000 0.0000 0.0000 4.0147" Properties=species:S:1:pos:R:3 comment="NaAl2SiN | Alexandria | GGA-PBE | optimized geometry" raw_formation_energy_kj_per_mol_atoms=36 density_g_cm3=2.44 total_magnetization_mub_per_fu=0.000 dos_ef_per_ev_atom=0.35 energy_ev_per_cell=-20.70 pbc="T T T"
Na 2.0074 2.5100 2.0074
Si 0.0000 2.5100 0.0000
Al 0.0000 0.0000 2.0074
Al 2.0074 0.0000 0.0000
N 0.0000 0.0000 0.0000